[1]
# SrMgMo

SrMgMo after structural relaxation (PBE, Alexandria).

Excess energy over the best structure of this formula in the dataset in eV/f.u.: 1.37
Density of states at the Fermi level in states/eV per atom: 0.914
ΔH_f (0 K) in eV/atom: 1.192
Space group: F-43m

Cell lengths 5.1494, 5.1494, 5.1494 Å; angles 60.00, 60.00, 60.00 degrees
Last column: nearest neighbours and their distance in Å.
Fractional coordinates of all 3 atoms:
Mg (0.5000, 0.5000, 0.5000)  4 Mo 3.15
Mo (0.2500, 0.2500, 0.2500)  4 Mg 3.15, 4 Sr 3.15
Sr (0.0000, 0.0000, 0.0000)  4 Mo 3.15

=====

[2]
# CaY2Ho

CaY2Ho after structural relaxation (PBE, Alexandria).

Excess energy over the best structure of this formula in the dataset in eV/f.u.: 0.17
Density of states at the Fermi level in states/eV per atom: 1.470
ΔH_f (0 K) in eV/atom: 0.060
Space group: R3m

Cell lengths 3.6021, 3.6021, 12.2242 Å; angles 81.53, 81.53, 60.00 degrees
Last column: nearest neighbours and their distance in Å.
Fractional coordinates of all 4 atoms:
Ca (0.5005, 0.5005, 0.4985)  6 Ca 3.60, 6 Y 3.79-3.83
Y (0.0782, 0.0782, 0.7653)  3 Ho 3.52, 6 Y 3.60, 3 Ca 3.83
Y (0.2549, 0.2549, 0.2352)  3 Ho 3.51, 6 Y 3.60, 3 Ca 3.79
Ho (0.6663, 0.6663, 0.0010)  6 Y 3.51-3.52, 6 Ho 3.60

=====

[3]
# Ce3Al

Ce3Al after structural relaxation (PBE, Alexandria).

Excess energy over the best structure of this formula in the dataset in eV/f.u.: 0.10
Density of states at the Fermi level in states/eV per atom: 2.431
ΔH_f (0 K) in eV/atom: -0.136
Space group: Pmm2

Cell lengths 3.2203, 5.3110, 5.7202 Å; angles 90.00, 90.00, 90.00 degrees
Last column: nearest neighbours and their distance in Å.
Fractional coordinates of all 4 atoms:
Al (0.0000, 0.0000, 0.9868)  10 Ce 3.17-3.36, 2 Al 3.22
Ce (0.5000, 0.0000, 0.4720)  8 Ce 3.21-3.52, 4 Al 3.21-3.36
Ce (0.5000, 0.5000, 0.8764)  4 Ce 3.06-3.22, 4 Al 3.17
Ce (0.0000, 0.5000, 0.3315)  8 Ce 3.06-3.22, 2 Al 3.31

=====

[4]
# V4Ni2Pt3

V4Ni2Pt3 after structural relaxation (PBE, Alexandria).

Density of states at the Fermi level in states/eV per atom: 0.984
ΔH_f (0 K) in eV/atom: -0.257
Space group: C2/m

Cell lengths 4.1138, 4.6223, 7.4990 Å; angles 94.21, 90.00, 116.42 degrees
Last column: nearest neighbours and their distance in Å.
Fractional coordinates of all 9 atoms:
V (0.6749, 0.3499, 0.0781)  3 Ni 2.44-2.59, 3 Pt 2.56-2.66, 2 V 2.72
V (0.0590, 0.1179, 0.6568)  1 V 2.47, 4 Pt 2.60-2.69, 3 Ni 2.61-2.73
V (0.9410, 0.8821, 0.3432)  1 V 2.47, 4 Pt 2.60-2.69, 3 Ni 2.61-2.73
V (0.3251, 0.6501, 0.9219)  3 Ni 2.44-2.59, 3 Pt 2.56-2.66, 2 V 2.72
Ni (0.2368, 0.4736, 0.2450)  6 V 2.44-2.73, 4 Pt 2.57-2.63
Ni (0.7632, 0.5264, 0.7550)  6 V 2.44-2.73, 4 Pt 2.57-2.63
Pt (0.3572, 0.7143, 0.5713)  3 Ni 2.57-2.63, 6 V 2.60-2.80, 3 Pt 2.67-2.87
Pt (0.0000, 0.0000, 0.0000)  8 V 2.56-2.80, 2 Ni 2.57
Pt (0.6428, 0.2857, 0.4287)  3 Ni 2.57-2.63, 6 V 2.60-2.80, 3 Pt 2.67-2.87

=====

[5]
# LiCa3Tb2Se6

LiCa3Tb2Se6 after structural relaxation (PBE, Alexandria).

Density of states at the Fermi level in states/eV per atom: 0.301
ΔE_f (raw) in eV per atom: -1.86
Space group: C2/m

Cell lengths 7.1553, 7.1553, 7.1803 Å; angles 99.58, 99.58, 119.97 degrees
Last column: nearest neighbours and their distance in Å.
Fractional coordinates of all 12 atoms:
Li (0.0000, 0.0000, 0.0000)  6 Se 2.88-2.89
Ca (0.1664, 0.8336, 0.5000)  6 Se 2.95-2.97
Ca (0.8336, 0.1664, 0.5000)  6 Se 2.95-2.97
Ca (0.5000, 0.5000, 0.5000)  6 Se 2.95-2.97
Tb (0.3334, 0.6666, 0.0000)  6 Se 2.90
Tb (0.6666, 0.3334, 0.0000)  6 Se 2.90
Se (0.9193, 0.5874, 0.7581)  1 Li 2.88, 2 Tb 2.90, 3 Ca 2.95-2.97
Se (0.7487, 0.7487, 0.2417)  1 Li 2.89, 2 Tb 2.90, 3 Ca 2.95-2.97
Se (0.0807, 0.4126, 0.2419)  1 Li 2.88, 2 Tb 2.90, 3 Ca 2.95-2.97
Se (0.5874, 0.9193, 0.7581)  1 Li 2.88, 2 Tb 2.90, 3 Ca 2.95-2.97
Se (0.2513, 0.2513, 0.7583)  1 Li 2.89, 2 Tb 2.90, 3 Ca 2.95-2.97
Se (0.4126, 0.0807, 0.2419)  1 Li 2.88, 2 Tb 2.90, 3 Ca 2.95-2.97

=====

[6]
# MgOsPb2

MgOsPb2 after structural relaxation (PBE, Alexandria).

Density of states at the Fermi level in states/eV per atom: 0.920
ΔH_f (0 K) in eV/atom: 0.661
Space group: I-4m2

Cell lengths 5.5562, 5.5562, 5.5562 Å; angles 134.21, 134.21, 66.77 degrees
Last column: nearest neighbours and their distance in Å.
Fractional coordinates of all 4 atoms:
Mg (0.5000, 0.5000, 0.0000)  8 Pb 3.06-3.17, 4 Os 3.17
Os (0.7500, 0.2500, 0.5000)  8 Pb 3.06-3.17, 4 Mg 3.17
Pb (0.0000, 0.0000, 0.0000)  4 Mg 3.06, 4 Os 3.17, 4 Pb 3.17
Pb (0.2500, 0.7500, 0.5000)  4 Os 3.06, 4 Mg 3.17, 4 Pb 3.17

=====

[7]
# Li4Tb3ZrS8

Li4Tb3ZrS8 after structural relaxation (PBE, Alexandria).

Density of states at the Fermi level in states/eV per atom: 0.257
ΔE_f (raw) in eV per atom: -1.74
Space group: R-3m

Cell lengths 7.7046, 7.6201, 7.7041 Å; angles 120.37, 120.00, 90.00 degrees
Last column: nearest neighbours and their distance in Å.
Fractional coordinates of all 16 atoms:
Li (0.5000, 0.0000, 0.0000)  6 S 2.78
Li (0.5000, 0.0000, 0.5000)  6 S 2.67-2.69
Li (0.0000, 0.0000, 0.0000)  6 S 2.67-2.69
Li (0.0000, 0.0000, 0.5000)  6 S 2.67-2.69
Tb (0.5000, 0.5000, 0.0000)  6 S 2.73-2.75
Tb (0.5000, 0.5000, 0.5000)  6 S 2.73-2.75
Tb (0.0000, 0.5000, 0.5000)  6 S 2.73-2.75
Zr (0.0000, 0.5000, 0.0000)  6 S 2.64
S (0.2439, 0.7505, 0.0067)  1 Zr 2.64, 3 Li 2.67-2.78, 2 Tb 2.75
S (0.2439, 0.7506, 0.4878)  1 Zr 2.64, 3 Li 2.67-2.78, 2 Tb 2.75
S (0.2479, 0.2438, 0.4958)  3 Li 2.69, 3 Tb 2.73
S (0.7628, 0.7505, 0.0067)  1 Zr 2.64, 3 Li 2.67-2.78, 2 Tb 2.75
S (0.2372, 0.2495, 0.9933)  1 Zr 2.64, 3 Li 2.67-2.78, 2 Tb 2.75
S (0.7521, 0.7562, 0.5042)  3 Li 2.69, 3 Tb 2.73
S (0.7561, 0.2494, 0.5122)  1 Zr 2.64, 3 Li 2.67-2.78, 2 Tb 2.75
S (0.7561, 0.2495, 0.9933)  1 Zr 2.64, 3 Li 2.67-2.78, 2 Tb 2.75

=====

[8]
# Ti3Pd4

Ti3Pd4 after structural relaxation (PBE, Alexandria).

Excess energy over the best structure of this formula in the dataset in eV/f.u.: 0.08
Density of states at the Fermi level in states/eV per atom: 0.958
ΔH_f (0 K) in eV/atom: -0.545
Space group: R-3

Cell lengths 5.4320, 7.0989, 7.0989 Å; angles 113.73, 104.78, 104.78 degrees
Last column: nearest neighbours and their distance in Å.
Fractional coordinates of all 14 atoms:
Ti (0.1136, 0.6005, 0.8692)  9 Pd 2.62-2.89
Ti (0.2443, 0.1308, 0.7313)  9 Pd 2.62-2.89
Ti (0.5131, 0.2687, 0.3995)  9 Pd 2.62-2.89
Ti (0.8864, 0.3995, 0.1308)  9 Pd 2.62-2.89
Ti (0.7557, 0.8692, 0.2687)  9 Pd 2.62-2.89
Ti (0.4869, 0.7313, 0.6005)  9 Pd 2.62-2.89
Pd (0.5000, 0.0000, 0.0000)  6 Ti 2.68, 2 Pd 2.72
Pd (0.0000, 0.0000, 0.0000)  2 Pd 2.72, 6 Ti 2.89
Pd (0.9347, 0.6852, 0.5280)  7 Ti 2.62-2.85, 3 Pd 2.80-2.86
Pd (0.4067, 0.4720, 0.1572)  7 Ti 2.62-2.85, 3 Pd 2.80-2.86
Pd (0.2495, 0.8428, 0.3148)  7 Ti 2.62-2.85, 3 Pd 2.80-2.86
Pd (0.0653, 0.3148, 0.4720)  7 Ti 2.62-2.85, 3 Pd 2.80-2.86
Pd (0.5933, 0.5280, 0.8428)  7 Ti 2.62-2.85, 3 Pd 2.80-2.86
Pd (0.7505, 0.1572, 0.6852)  7 Ti 2.62-2.85, 3 Pd 2.80-2.86

=====

[9]
# Ba2LiSn7

Ba2LiSn7 after structural relaxation (PBE, Alexandria).

Density of states at the Fermi level in states/eV per atom: 0.405
ΔH_f (0 K) in eV/atom: -0.371
Space group: P-4m2

Cell lengths 5.0369, 5.0369, 12.8726 Å; angles 90.00, 90.00, 90.00 degrees
Last column: nearest neighbours and their distance in Å.
Fractional coordinates of all 10 atoms:
Ba (0.5000, 0.0000, 0.7558)  14 Sn 3.85-4.15, 2 Li 4.03
Ba (0.0000, 0.5000, 0.2442)  14 Sn 3.85-4.15, 2 Li 4.03
Li (0.5000, 0.5000, 0.0000)  4 Sn 3.02
Sn (0.0000, 0.5000, 0.8702)  3 Sn 2.99-3.02, 2 Li 3.02
Sn (0.5000, 0.0000, 0.3620)  5 Sn 2.99-3.08
Sn (0.5000, 0.0000, 0.1298)  3 Sn 2.99-3.02, 2 Li 3.02
Sn (0.0000, 0.5000, 0.6380)  5 Sn 2.99-3.08
Sn (0.0000, 0.0000, 0.5000)  4 Sn 3.08
Sn (0.0000, 0.0000, 0.0000)  4 Sn 3.02
Sn (0.5000, 0.5000, 0.5000)  4 Sn 3.08